The following is a DFT calculation (GGA+U) of a relaxed Ta3FeO crystal.

* spin magnetization: 0.000 μB per cell
* energy above the lowest structure with this stoichiometry: 1962 meV/atom
* crystal system: cubic
* uncorrected energy: -7.505 eV per atom

Structure (CIF):
```
data_Ta3FeO
_cell_length_a 4.5212
_cell_length_b 4.5212
_cell_length_c 4.5212
_cell_angle_alpha 90.00
_cell_angle_beta 90.00
_cell_angle_gamma 90.00
_symmetry_space_group_name_H-M 'P m -3 m'
_symmetry_Int_Tables_number 221
_symmetry_space_group_name_Hall '-P 4 2 3'
loop_
_atom_site_label
_atom_site_fract_x
_atom_site_fract_y
_atom_site_fract_z
Ta1 0.0000 0.0000 0.5000
Fe1 0.0000 0.0000 0.0000
O1 0.5000 0.5000 0.5000
```